[1]
Material: KRbCo2Cl8
Method: DFT, PBE-GGA
State: relaxed

Output
Formation energy from raw total energies ... -12.4 eV/f.u.
Space group ... No. 148
Fermi-level density of states ... 13.0 states/eV per cell

a = 6.832 Å, b = 6.832 Å, c = 10.345 Å
α = 70.72°, β = 70.72°, γ = 60.00°
Site moments in Bohr magnetons follow the coordinates.
Positions (direct):
Cl 0.942 0.541 0.197  0.22
K 0.000 0.000 0.000  0.00
Co 0.243 0.243 0.271  2.67
Cl 0.167 0.167 0.498  0.25
Rb 0.500 0.500 0.500  0.00
Cl 0.058 0.459 0.803  0.22
Co 0.757 0.757 0.729  2.67
Cl 0.320 0.942 0.197  0.22
Cl 0.459 0.680 0.803  0.22
Cl 0.833 0.833 0.502  0.25
Cl 0.680 0.058 0.803  0.22
Cl 0.541 0.320 0.197  0.22

***

[2]
Material: KCoRhCl6
Method: DFT, PBE-GGA
State: relaxed

Output
Formation energy from raw total energies ... -8.0 eV/f.u.
Space group ... No. 149
Fermi-level density of states ... 1.7 states/eV per cell

a = 6.278 Å, b = 6.278 Å, c = 7.056 Å
α = 90.00°, β = 90.01°, γ = 60.00°
Site moments in Bohr magnetons follow the coordinates.
Positions (direct):
Rh 0.333 0.333 0.500  0.01
Co 0.667 0.667 0.500  2.51
Cl 0.633 0.357 0.688  0.06
K 0.000 0.000 0.000  0.00
Cl 0.009 0.633 0.688  0.06
Cl 0.009 0.357 0.312  0.06
Cl 0.633 0.009 0.312  0.06
Cl 0.357 0.009 0.688  0.06
Cl 0.357 0.633 0.312  0.06

***

[3]
Material: KCo2RhCl8
Method: DFT, PBE-GGA
State: relaxed

Output
Formation energy from raw total energies ... -9.5 eV/f.u.
Space group ... No. 148
Fermi-level density of states ... 0.0 states/eV per cell

a = 6.124 Å, b = 6.124 Å, c = 10.248 Å
α = 72.61°, β = 72.61°, γ = 60.00°
Site moments in Bohr magnetons follow the coordinates.
Positions (direct):
Cl 0.271 0.940 0.146  0.09
Cl 0.814 0.814 0.559  0.14
Cl 0.358 0.729 0.854  0.09
Co 0.738 0.738 0.787  2.37
K 0.500 0.500 0.500  0.00
Cl 0.729 0.060 0.854  0.09
Co 0.262 0.262 0.213  2.37
Cl 0.642 0.271 0.146  0.09
Cl 0.060 0.358 0.854  0.09
Rh 0.000 0.000 0.000  0.01
Cl 0.940 0.642 0.146  0.09
Cl 0.186 0.186 0.441  0.14

***

[4]
Material: KCoRuCl6
Method: DFT, PBE-GGA
State: relaxed

Output
Formation energy from raw total energies ... -7.6 eV/f.u.
Space group ... No. 149
Fermi-level density of states ... 8.0 states/eV per cell

a = 6.330 Å, b = 6.329 Å, c = 6.955 Å
α = 89.99°, β = 89.98°, γ = 60.00°
Site moments in Bohr magnetons follow the coordinates.
Positions (direct):
Cl 0.621 0.372 0.694  0.09
Co 0.667 0.667 0.500  2.48
Cl 0.006 0.621 0.694  0.09
Cl 0.621 0.006 0.306  0.09
Cl 0.372 0.006 0.694  0.09
Cl 0.006 0.373 0.306  0.09
Cl 0.373 0.621 0.306  0.09
Ru 0.333 0.333 0.500  0.76
K 0.000 0.000 0.000  0.00

***

[5]
Material: KCoS2Cl
Method: DFT, PBE-GGA
State: relaxed

Output
Formation energy from raw total energies ... 6.1 eV/f.u.
ΔE to the lowest computed polymorph ... 1712 meV/atom
Space group ... No. 123
Fermi-level density of states ... 6.5 states/eV per cell

a = 5.601 Å, b = 5.601 Å, c = 5.460 Å
α = 90.00°, β = 90.00°, γ = 90.00°
Site moments in Bohr magnetons follow the coordinates.
Positions (direct):
Co 0.500 0.500 0.500  2.25
K 0.000 0.000 0.000  0.04
S 0.000 0.500 0.000  0.76
S 0.500 0.000 0.000  0.76
Cl 0.000 0.000 0.500  0.15

***

[6]
Material: KCoS2Cl
Method: DFT, PBE-GGA
State: relaxed

Output
Formation energy from raw total energies ... -2.5 eV/f.u.
ΔE to the lowest computed polymorph ... 0 meV/atom
Space group ... No. 123
Fermi-level density of states ... 2.8 states/eV per cell

a = 4.417 Å, b = 4.417 Å, c = 5.735 Å
α = 90.00°, β = 90.00°, γ = 90.00°
Site moments in Bohr magnetons follow the coordinates.
Positions (direct):
K 0.500 0.500 0.500  0.00
Cl 0.000 0.000 0.500  0.12
S 0.000 0.500 0.000  0.34
S 0.500 0.000 0.000  0.34
Co 0.000 0.000 0.000  1.87